# 1
A relaxed HgAu2Cl crystal. Source: Alexandria via LeMat-Bulk, functional PBE.

The total energy is -1.9854 eV per atom. For the offset from the most stable computed form, the calculation gives 224 meV per atom. For the density of states at the Fermi level, the calculation gives 0.277 states/eV/atom.

The structure belongs to space group Pmmm (No. 47); the cell edges are 3.259, 3.991 and 6.488 Å and the angles 90.00°, 90.00° and 90.00°. The distinct sites, in fractional coordinates, are Hg at (0.000, 0.000, 0.000), Au at (0.500, 0.500, 0.220) and Cl at (0.000, 0.000, 0.500).


# 2
A relaxed Mn2IrAu crystal. Source: Alexandria via LeMat-Bulk, functional PBE.

Its formation energy from the elements is -0.041 eV per atom. The total energy is -7.6599 eV per atom. For the offset from the most stable computed form, the calculation gives 0 meV per atom. For the density of states at the Fermi level, the calculation gives 0.769 states/eV/atom.

The structure belongs to space group P4/mmm (No. 123); the cell edges are 2.994, 2.994 and 6.897 Å and the angles 90.00°, 90.00° and 90.00°. The distinct sites, in fractional coordinates, are Mn at (0.000, 0.000, 0.232), Ir at (0.500, 0.500, 0.000) and Au at (0.500, 0.500, 0.500).


# 3
A relaxed BaReN3 crystal. Source: Alexandria via LeMat-Bulk, functional PBE.

The total energy is -7.8995 eV per atom. For the density of states at the Fermi level, the calculation gives 0.907 states/eV/atom.

The structure belongs to space group Fd-3m (No. 227, origin choice 2); the cell edges are 10.660, 10.660 and 10.660 Å and the angles 90.00°, 90.00° and 90.00°. The distinct sites, in fractional coordinates, are Ba at (0.000, 0.000, 0.000), Re at (0.000, 0.000, 0.500) and N at (0.059, 0.375, 0.875).


What did the second record say?
A relaxed Mn2IrAu crystal. Source: Alexandria via LeMat-Bulk, functional PBE.

Its formation energy from the elements is -0.041 eV per atom. The total energy is -7.6599 eV per atom. For the offset from the most stable computed form, the calculation gives 0 meV per atom. For the density of states at the Fermi level, the calculation gives 0.769 states/eV/atom.

The structure belongs to space group P4/mmm (No. 123); the cell edges are 2.994, 2.994 and 6.897 Å and the angles 90.00°, 90.00° and 90.00°. The distinct sites, in fractional coordinates, are Mn at (0.000, 0.000, 0.232), Ir at (0.500, 0.500, 0.000) and Au at (0.500, 0.500, 0.500).